[1]
Below is crystalline Ta2SiOs2 at its relaxed geometry, with properties calculated at the PBE level.

Cell and atoms, written as POSCAR:
```
Ta2SiOs2
1.0
4.5627 -3.5533 3.6115
5.4220 1.8992 3.6718
-6.5888 1.0539 -1.4016
Ta Os Si
2 2 1
Direct
0.6160 0.6160 0.0000
0.3840 0.3840 0.0000
0.2500 0.7500 0.5000
0.7500 0.2500 0.5000
0.0000 0.0000 0.0000
```

Values from the calculation:
The magnetization is 0.00 μB per formula unit. The energy comes out at -9.81 eV/atom. The value obtained for the volume is 19.0 Å³ per atom.

***

[2]
Below is crystalline YTaSiOs2 at its relaxed geometry, with properties calculated at the PBE level.

Cell and atoms, written as POSCAR:
```
YTaSiOs2
1.0
-2.0907 2.0907 5.3915
2.0907 -2.0907 5.3915
2.0907 2.0907 -5.3915
Os Y Ta Si
2 1 1 1
Direct
0.2416 0.7416 0.5000
0.7416 0.2416 0.5000
0.0192 0.0192 0.0000
0.3747 0.3747 0.0000
0.6228 0.6228 0.0000
```

Values from the calculation:
The magnetization is 0.01 μB per formula unit. The energy comes out at -9.59 eV/atom. The value obtained for the volume is 18.9 Å³ per atom.

***

[3]
Below is crystalline TbSiOs at its relaxed geometry, with properties calculated at the PBE level.

Cell and atoms, written as POSCAR:
```
TbSiOs
1.0
0.0000 3.1419 3.1419
3.1419 0.0000 3.1419
3.1419 3.1419 0.0000
Os Si Tb
1 1 1
Direct
0.0000 0.0000 0.0000
0.2500 0.2500 0.2500
0.7500 0.7500 0.7500
```

Values from the calculation:
The magnetization is 0.00 μB per formula unit. The energy comes out at -7.14 eV/atom. The value obtained for the volume is 20.7 Å³ per atom.